(1)
# DyHo2ErBi4, relaxed, DFT GGA-PBE
data_DyHo2ErBi4
_chemical_formula_sum 'Dy1 Ho2 Er1 Bi4'
_cell_length_a 7.720
_cell_length_b 4.460
_cell_length_c 7.720
_cell_angle_alpha 90.00
_cell_angle_beta 109.47
_cell_angle_gamma 90.00
_symmetry_space_group_name_H-M 'P 1 2/m 1'
_symmetry_Int_Tables_number 10
_symmetry_space_group_name_Hall '-P 2y'
loop_
_atom_site_label
_atom_site_type_symbol
_atom_site_fract_x
_atom_site_fract_y
_atom_site_fract_z
Dy1 Dy 0.000 0.000 0.000
Ho1 Ho 0.000 0.500 0.500
Ho2 Ho 0.500 0.000 0.500
Er1 Er 0.500 0.500 0.000
Bi1 Bi 0.251 0.000 0.750
Bi2 Bi 0.251 0.500 0.250
# DOS(E_F) (states/eV/cell): 1.24
# Energy of formation (meV per atom): -835



(2)
# DyEr5In2Bi, relaxed, DFT GGA-PBE
data_DyEr5In2Bi
_chemical_formula_sum 'Dy4 Er20 In8 Bi4'
_cell_length_a 8.548
_cell_length_b 8.548
_cell_length_c 14.133
_cell_angle_alpha 90.00
_cell_angle_beta 90.00
_cell_angle_gamma 90.00
_symmetry_space_group_name_H-M 'I 4/m c m'
_symmetry_Int_Tables_number 140
_symmetry_space_group_name_Hall '-I 4 2c'
loop_
_atom_site_label
_atom_site_type_symbol
_atom_site_fract_x
_atom_site_fract_y
_atom_site_fract_z
Dy1 Dy 0.000 0.500 0.250
Er1 Er 0.000 0.000 0.000
Er2 Er 0.207 0.293 0.132
In1 In 0.111 0.389 0.500
Bi1 Bi 0.000 0.000 0.250
# DOS(E_F) (states/eV/cell): 44.13
# Energy of formation (meV per atom): -76



(3)
# LaDyEr2Bi4, relaxed, DFT GGA-PBE
data_LaDyEr2Bi4
_chemical_formula_sum 'La1 Dy1 Er2 Bi4'
_cell_length_a 7.824
_cell_length_b 4.530
_cell_length_c 7.831
_cell_angle_alpha 90.00
_cell_angle_beta 109.50
_cell_angle_gamma 90.00
_symmetry_space_group_name_H-M 'P 1 2/m 1'
_symmetry_Int_Tables_number 10
_symmetry_space_group_name_Hall '-P 2y'
loop_
_atom_site_label
_atom_site_type_symbol
_atom_site_fract_x
_atom_site_fract_y
_atom_site_fract_z
La1 La 0.000 0.000 0.000
Dy1 Dy 0.000 0.500 0.500
Er1 Er 0.500 0.000 0.500
Er2 Er 0.500 0.500 0.000
Bi1 Bi 0.257 0.000 0.746
Bi2 Bi 0.261 0.500 0.259
# DOS(E_F) (states/eV/cell): 1.19
# Energy of formation (meV per atom): -877



(4)
# La2DyErBi4, relaxed, DFT GGA-PBE
data_La2DyErBi4
_chemical_formula_sum 'La2 Dy1 Er1 Bi4'
_cell_length_a 7.916
_cell_length_b 4.595
_cell_length_c 7.952
_cell_angle_alpha 90.00
_cell_angle_beta 109.57
_cell_angle_gamma 90.00
_symmetry_space_group_name_H-M 'P 1 2/m 1'
_symmetry_Int_Tables_number 10
_symmetry_space_group_name_Hall '-P 2y'
loop_
_atom_site_label
_atom_site_type_symbol
_atom_site_fract_x
_atom_site_fract_y
_atom_site_fract_z
La1 La 0.000 0.000 0.000
La2 La 0.000 0.500 0.500
Dy1 Dy 0.500 0.000 0.500
Er1 Er 0.500 0.500 0.000
Bi1 Bi 0.264 0.000 0.756
Bi2 Bi 0.264 0.500 0.254
# DOS(E_F) (states/eV/cell): 1.17
# Energy of formation (meV per atom): -943



(5)
# LaDy2ErBi4, relaxed, DFT GGA-PBE
data_LaDy2ErBi4
_chemical_formula_sum 'La2 Dy4 Er2 Bi8'
_cell_length_a 6.412
_cell_length_b 6.412
_cell_length_c 12.798
_cell_angle_alpha 90.00
_cell_angle_beta 90.00
_cell_angle_gamma 90.00
_symmetry_space_group_name_H-M 'I 4/m m m'
_symmetry_Int_Tables_number 139
_symmetry_space_group_name_Hall '-I 4 2'
loop_
_atom_site_label
_atom_site_type_symbol
_atom_site_fract_x
_atom_site_fract_y
_atom_site_fract_z
La1 La 0.000 0.000 0.000
Dy1 Dy 0.000 0.500 0.250
Er1 Er 0.000 0.000 0.500
Bi1 Bi 0.000 0.000 0.256
Bi2 Bi 0.000 0.500 0.000
# DOS(E_F) (states/eV/cell): 2.44
# Energy of formation (meV per atom): -881



(6)
# DyEr2MgBi4, relaxed, DFT GGA-PBE
data_DyEr2MgBi4
_chemical_formula_sum 'Dy1 Er2 Mg1 Bi4'
_cell_length_a 7.725
_cell_length_b 4.416
_cell_length_c 7.748
_cell_angle_alpha 90.00
_cell_angle_beta 109.74
_cell_angle_gamma 90.00
_symmetry_space_group_name_H-M 'P 1 2/m 1'
_symmetry_Int_Tables_number 10
_symmetry_space_group_name_Hall '-P 2y'
loop_
_atom_site_label
_atom_site_type_symbol
_atom_site_fract_x
_atom_site_fract_y
_atom_site_fract_z
Dy1 Dy 0.000 0.000 0.000
Er1 Er 0.000 0.500 0.500
Er2 Er 0.500 0.000 0.500
Mg1 Mg 0.500 0.500 0.000
Bi1 Bi 0.252 0.500 0.251
Bi2 Bi 0.257 0.000 0.755
# DOS(E_F) (states/eV/cell): 3.17
# Energy of formation (meV per atom): -590



(7)
# Dy2ErMgBi4, relaxed, DFT GGA-PBE
data_Dy2ErMgBi4
_chemical_formula_sum 'Dy2 Er1 Mg1 Bi4'
_cell_length_a 7.736
_cell_length_b 4.426
_cell_length_c 7.759
_cell_angle_alpha 90.00
_cell_angle_beta 109.82
_cell_angle_gamma 90.00
_symmetry_space_group_name_H-M 'P 1 2/m 1'
_symmetry_Int_Tables_number 10
_symmetry_space_group_name_Hall '-P 2y'
loop_
_atom_site_label
_atom_site_type_symbol
_atom_site_fract_x
_atom_site_fract_y
_atom_site_fract_z
Dy1 Dy 0.000 0.000 0.000
Dy2 Dy 0.000 0.500 0.500
Er1 Er 0.500 0.000 0.500
Mg1 Mg 0.500 0.500 0.000
Bi1 Bi 0.253 0.500 0.250
Bi2 Bi 0.258 0.000 0.757
# DOS(E_F) (states/eV/cell): 3.30
# Energy of formation (meV per atom): -600



(8)
# Nd2DyErBi5, relaxed, DFT GGA-PBE
data_Nd2DyErBi5
_chemical_formula_sum 'Nd2 Dy1 Er1 Bi5'
_cell_length_a 5.439
_cell_length_b 5.439
_cell_length_c 11.877
_cell_angle_alpha 90.00
_cell_angle_beta 90.00
_cell_angle_gamma 90.00
_symmetry_space_group_name_H-M 'P 4/m m m'
_symmetry_Int_Tables_number 123
_symmetry_space_group_name_Hall '-P 4 2'
loop_
_atom_site_label
_atom_site_type_symbol
_atom_site_fract_x
_atom_site_fract_y
_atom_site_fract_z
Nd1 Nd 0.000 0.000 0.224
Dy1 Dy 0.500 0.500 0.000
Er1 Er 0.500 0.500 0.500
Bi1 Bi 0.000 0.000 0.500
Bi2 Bi 0.000 0.500 0.000
Bi3 Bi 0.500 0.500 0.255
# DOS(E_F) (states/eV/cell): 5.75
# Energy of formation (meV per atom): -105



(9)
# NdDy2ErBi4, relaxed, DFT GGA-PBE
data_NdDy2ErBi4
_chemical_formula_sum 'Nd1 Dy2 Er1 Bi4'
_cell_length_a 7.798
_cell_length_b 4.507
_cell_length_c 7.800
_cell_angle_alpha 90.00
_cell_angle_beta 109.48
_cell_angle_gamma 90.00
_symmetry_space_group_name_H-M 'P 1 2/m 1'
_symmetry_Int_Tables_number 10
_symmetry_space_group_name_Hall '-P 2y'
loop_
_atom_site_label
_atom_site_type_symbol
_atom_site_fract_x
_atom_site_fract_y
_atom_site_fract_z
Nd1 Nd 0.000 0.000 0.000
Dy1 Dy 0.000 0.500 0.500
Dy2 Dy 0.500 0.000 0.500
Er1 Er 0.500 0.500 0.000
Bi1 Bi 0.254 0.000 0.749
Bi2 Bi 0.257 0.500 0.255
# DOS(E_F) (states/eV/cell): 1.23
# Energy of formation (meV per atom): -864



(10)
# Nd2DyEr3Bi6, relaxed, DFT GGA-PBE
data_Nd2DyEr3Bi6
_chemical_formula_sum 'Nd4 Dy2 Er6 Bi12'
_cell_length_a 19.632
_cell_length_b 4.509
_cell_length_c 9.010
_cell_angle_alpha 90.00
_cell_angle_beta 103.15
_cell_angle_gamma 90.00
_symmetry_space_group_name_H-M 'C 1 2/m 1'
_symmetry_Int_Tables_number 12
_symmetry_space_group_name_Hall '-C 2y'
loop_
_atom_site_label
_atom_site_type_symbol
_atom_site_fract_x
_atom_site_fract_y
_atom_site_fract_z
Nd1 Nd 0.166 0.000 0.333
Dy1 Dy 0.000 0.500 0.000
Er1 Er 0.000 0.500 0.500
Er2 Er 0.168 0.000 0.834
Bi1 Bi 0.003 0.000 0.750
Bi2 Bi 0.164 0.500 0.589
Bi3 Bi 0.166 0.500 0.076
# DOS(E_F) (states/eV/cell): 4.02
# Energy of formation (meV per atom): -862



(11)
# DyErBiO2, relaxed, DFT GGA-PBE
data_DyErBiO2
_chemical_formula_sum 'Dy2 Er2 Bi2 O4'
_cell_length_a 3.870
_cell_length_b 3.870
_cell_length_c 13.525
_cell_angle_alpha 90.00
_cell_angle_beta 90.00
_cell_angle_gamma 90.00
_symmetry_space_group_name_H-M 'I 4 m m'
_symmetry_Int_Tables_number 107
_symmetry_space_group_name_Hall 'I 4 -2'
loop_
_atom_site_label
_atom_site_type_symbol
_atom_site_fract_x
_atom_site_fract_y
_atom_site_fract_z
Dy1 Dy 0.000 0.000 0.000
Er1 Er 0.000 0.000 0.338
Bi1 Bi 0.000 0.000 0.669
O1 O 0.000 0.500 0.417
# Final energy (eV per atom): -7.289
# DOS(E_F) (states/eV/cell): 2.95



(12)
# DyErBiPb, relaxed, DFT GGA-PBE
data_DyErBiPb
_chemical_formula_sum 'Dy1 Er1 Bi1 Pb1'
_cell_length_a 4.462
_cell_length_b 4.447
_cell_length_c 6.285
_cell_angle_alpha 90.00
_cell_angle_beta 90.13
_cell_angle_gamma 90.00
_symmetry_space_group_name_H-M 'P 1 2/m 1'
_symmetry_Int_Tables_number 10
_symmetry_space_group_name_Hall '-P 2y'
loop_
_atom_site_label
_atom_site_type_symbol
_atom_site_fract_x
_atom_site_fract_y
_atom_site_fract_z
Dy1 Dy 0.000 0.000 0.000
Er1 Er 0.500 0.500 0.500
Bi1 Bi 0.500 0.500 0.000
Pb1 Pb 0.000 0.000 0.500
# DOS(E_F) (states/eV/cell): 2.91
# Energy of formation (meV per atom): -565



(13)
# PmDyEr2Bi4, relaxed, DFT GGA-PBE
data_PmDyEr2Bi4
_chemical_formula_sum 'Pm1 Dy1 Er2 Bi4'
_cell_length_a 7.770
_cell_length_b 4.492
_cell_length_c 7.773
_cell_angle_alpha 90.00
_cell_angle_beta 109.49
_cell_angle_gamma 90.00
_symmetry_space_group_name_H-M 'P 1 2/m 1'
_symmetry_Int_Tables_number 10
_symmetry_space_group_name_Hall '-P 2y'
loop_
_atom_site_label
_atom_site_type_symbol
_atom_site_fract_x
_atom_site_fract_y
_atom_site_fract_z
Pm1 Pm 0.000 0.000 0.000
Dy1 Dy 0.000 0.500 0.500
Er1 Er 0.500 0.000 0.500
Er2 Er 0.500 0.500 0.000
Bi1 Bi 0.255 0.000 0.748
Bi2 Bi 0.257 0.500 0.255
# DOS(E_F) (states/eV/cell): 1.24
# Energy of formation (meV per atom): -853



(14)
# Pm2DyErBi4, relaxed, DFT GGA-PBE
data_Pm2DyErBi4
_chemical_formula_sum 'Pm2 Dy1 Er1 Bi4'
_cell_length_a 7.825
_cell_length_b 4.524
_cell_length_c 7.832
_cell_angle_alpha 90.00
_cell_angle_beta 109.49
_cell_angle_gamma 90.00
_symmetry_space_group_name_H-M 'P 1 2/m 1'
_symmetry_Int_Tables_number 10
_symmetry_space_group_name_Hall '-P 2y'
loop_
_atom_site_label
_atom_site_type_symbol
_atom_site_fract_x
_atom_site_fract_y
_atom_site_fract_z
Pm1 Pm 0.000 0.000 0.000
Pm2 Pm 0.000 0.500 0.500
Dy1 Dy 0.500 0.000 0.500
Er1 Er 0.500 0.500 0.000
Bi1 Bi 0.258 0.000 0.754
Bi2 Bi 0.258 0.500 0.252
# DOS(E_F) (states/eV/cell): 1.23
# Energy of formation (meV per atom): -886



(15)
# PmDy2ErBi4, relaxed, DFT GGA-PBE
data_PmDy2ErBi4
_chemical_formula_sum 'Pm1 Dy2 Er1 Bi4'
_cell_length_a 7.784
_cell_length_b 4.498
_cell_length_c 7.786
_cell_angle_alpha 90.00
_cell_angle_beta 109.48
_cell_angle_gamma 90.00
_symmetry_space_group_name_H-M 'P 1 2/m 1'
_symmetry_Int_Tables_number 10
_symmetry_space_group_name_Hall '-P 2y'
loop_
_atom_site_label
_atom_site_type_symbol
_atom_site_fract_x
_atom_site_fract_y
_atom_site_fract_z
Pm1 Pm 0.000 0.000 0.000
Dy1 Dy 0.000 0.500 0.500
Dy2 Dy 0.500 0.000 0.500
Er1 Er 0.500 0.500 0.000
Bi1 Bi 0.254 0.000 0.749
Bi2 Bi 0.255 0.500 0.254
# DOS(E_F) (states/eV/cell): 1.23
# Energy of formation (meV per atom): -864



(16)
# Pr2DyErBi4, relaxed, DFT GGA-PBE
data_Pr2DyErBi4
_chemical_formula_sum 'Pr2 Dy1 Er1 Bi4'
_cell_length_a 7.875
_cell_length_b 4.558
_cell_length_c 7.890
_cell_angle_alpha 90.00
_cell_angle_beta 109.50
_cell_angle_gamma 90.00
_symmetry_space_group_name_H-M 'P 1 2/m 1'
_symmetry_Int_Tables_number 10
_symmetry_space_group_name_Hall '-P 2y'
loop_
_atom_site_label
_atom_site_type_symbol
_atom_site_fract_x
_atom_site_fract_y
_atom_site_fract_z
Pr1 Pr 0.000 0.000 0.000
Pr2 Pr 0.000 0.500 0.500
Dy1 Dy 0.500 0.000 0.500
Er1 Er 0.500 0.500 0.000
Bi1 Bi 0.262 0.000 0.755
Bi2 Bi 0.262 0.500 0.253
# DOS(E_F) (states/eV/cell): 1.23
# Energy of formation (meV per atom): -894



(17)
# Pr2DyErBi5, relaxed, DFT GGA-PBE
data_Pr2DyErBi5
_chemical_formula_sum 'Pr2 Dy1 Er1 Bi5'
_cell_length_a 5.446
_cell_length_b 5.446
_cell_length_c 11.899
_cell_angle_alpha 90.00
_cell_angle_beta 90.00
_cell_angle_gamma 90.00
_symmetry_space_group_name_H-M 'P 4/m m m'
_symmetry_Int_Tables_number 123
_symmetry_space_group_name_Hall '-P 4 2'
loop_
_atom_site_label
_atom_site_type_symbol
_atom_site_fract_x
_atom_site_fract_y
_atom_site_fract_z
Pr1 Pr 0.000 0.000 0.223
Dy1 Dy 0.500 0.500 0.000
Er1 Er 0.500 0.500 0.500
Bi1 Bi 0.000 0.000 0.500
Bi2 Bi 0.000 0.500 0.000
Bi3 Bi 0.500 0.500 0.255
# DOS(E_F) (states/eV/cell): 5.77
# Energy of formation (meV per atom): -134



(18)
# PrDyEr2Bi4, relaxed, DFT GGA-PBE
data_PrDyEr2Bi4
_chemical_formula_sum 'Pr1 Dy1 Er2 Bi4'
_cell_length_a 7.798
_cell_length_b 4.509
_cell_length_c 7.802
_cell_angle_alpha 90.00
_cell_angle_beta 109.49
_cell_angle_gamma 90.00
_symmetry_space_group_name_H-M 'P 1 2/m 1'
_symmetry_Int_Tables_number 10
_symmetry_space_group_name_Hall '-P 2y'
loop_
_atom_site_label
_atom_site_type_symbol
_atom_site_fract_x
_atom_site_fract_y
_atom_site_fract_z
Pr1 Pr 0.000 0.000 0.000
Dy1 Dy 0.000 0.500 0.500
Er1 Er 0.500 0.000 0.500
Er2 Er 0.500 0.500 0.000
Bi1 Bi 0.256 0.000 0.747
Bi2 Bi 0.259 0.500 0.258
# DOS(E_F) (states/eV/cell): 1.23
# Energy of formation (meV per atom): -854



(19)
# Pr2DyEr3Bi6, relaxed, DFT GGA-PBE
data_Pr2DyEr3Bi6
_chemical_formula_sum 'Pr4 Dy2 Er6 Bi12'
_cell_length_a 19.679
_cell_length_b 4.521
_cell_length_c 9.033
_cell_angle_alpha 90.00
_cell_angle_beta 103.15
_cell_angle_gamma 90.00
_symmetry_space_group_name_H-M 'C 1 2/m 1'
_symmetry_Int_Tables_number 12
_symmetry_space_group_name_Hall '-C 2y'
loop_
_atom_site_label
_atom_site_type_symbol
_atom_site_fract_x
_atom_site_fract_y
_atom_site_fract_z
Pr1 Pr 0.166 0.000 0.333
Dy1 Dy 0.000 0.500 0.000
Er1 Er 0.000 0.500 0.500
Er2 Er 0.168 0.000 0.834
Bi1 Bi 0.004 0.000 0.751
Bi2 Bi 0.164 0.500 0.591
Bi3 Bi 0.166 0.500 0.074
# DOS(E_F) (states/eV/cell): 4.03
# Energy of formation (meV per atom): -863



(20)
# PrDy2ErBi4, relaxed, DFT GGA-PBE
data_PrDy2ErBi4
_chemical_formula_sum 'Pr1 Dy2 Er1 Bi4'
_cell_length_a 7.813
_cell_length_b 4.515
_cell_length_c 7.816
_cell_angle_alpha 90.00
_cell_angle_beta 109.49
_cell_angle_gamma 90.00
_symmetry_space_group_name_H-M 'P 1 2/m 1'
_symmetry_Int_Tables_number 10
_symmetry_space_group_name_Hall '-P 2y'
loop_
_atom_site_label
_atom_site_type_symbol
_atom_site_fract_x
_atom_site_fract_y
_atom_site_fract_z
Pr1 Pr 0.000 0.000 0.000
Dy1 Dy 0.000 0.500 0.500
Dy2 Dy 0.500 0.000 0.500
Er1 Er 0.500 0.500 0.000
Bi1 Bi 0.255 0.000 0.748
Bi2 Bi 0.258 0.500 0.256
# DOS(E_F) (states/eV/cell): 1.22
# Energy of formation (meV per atom): -865



| no. | total moment (μB per atom) |
| --- | --- |
| 1 | 0.0000 |
| 2 | 0.0017 |
| 3 | 0.0000 |
| 4 | 0.0000 |
| 5 | 0.0000 |
| 6 | 0.0000 |
| 7 | 0.0000 |
| 8 | 0.0000 |
| 9 | 0.0000 |
| 10 | 0.0000 |
| 11 | 0.0000 |
| 12 | 0.0000 |
| 13 | 0.0000 |
| 14 | 0.0000 |
| 15 | 0.0000 |
| 16 | 0.0000 |
| 17 | 0.0000 |
| 18 | 0.0000 |
| 19 | 0.0000 |
| 20 | 0.0000 |